A geometry-optimized LiHfTi2N4 structure. Source: the Alexandria database, functional PBE.

Cell and atoms, written as POSCAR:
```
LiHfTi2N4
1.0
4.305 0.234 0.000
-0.234 4.305 0.000
-2.035 -2.270 4.312
Li Hf Ti N
1 1 2 4
direct
0.437 0.437 0.000 Li
0.937 0.937 0.000 Hf
0.187 0.687 0.500 Ti
0.687 0.187 0.500 Ti
0.937 0.437 0.000 N
0.437 0.937 0.000 N
0.185 0.185 0.496 N
0.689 0.689 0.504 N
```

Summary:
- Size of the total moment: 0.00 μB/cell
- DOS at the Fermi energy: 2.37 states/eV per cell
- Formation energy without anion corrections: -1.493 eV/atom

***

A geometry-optimized LiTmHf2N4 structure. Source: the Alexandria database, functional PBE.

Cell and atoms, written as POSCAR:
```
LiTmHf2N4
1.0
-0.388 3.070 1.016
-3.180 1.061 -4.419
-3.346 -1.816 4.210
Li Tm Hf N
1 1 2 4
direct
0.500 0.500 0.000 Li
0.000 0.000 0.000 Tm
0.500 0.000 0.500 Hf
0.000 0.500 0.500 Hf
0.500 0.256 0.270 N
0.500 0.744 0.730 N
0.000 0.234 0.718 N
0.000 0.766 0.282 N
```

Summary:
- Size of the total moment: 0.00 μB/cell
- DOS at the Fermi energy: 0.54 states/eV per cell
- Formation energy without anion corrections: -1.611 eV/atom

***

A geometry-optimized LiTm2Hf3N6 structure. Source: the Alexandria database, functional PBE.

Cell and atoms, written as POSCAR:
```
LiTm2Hf3N6
1.0
3.255 0.000 0.000
0.000 6.585 0.180
-1.627 -1.955 6.831
Li Tm Hf N
1 2 3 6
direct
0.500 0.000 0.000 Li
0.838 0.677 0.676 Tm
0.162 0.323 0.324 Tm
0.500 0.500 0.000 Hf
0.839 0.164 0.678 Hf
0.161 0.836 0.322 Hf
0.329 0.928 0.658 N
0.663 0.593 0.326 N
0.671 0.072 0.342 N
0.995 0.270 0.989 N
0.005 0.730 0.011 N
0.337 0.407 0.674 N
```

Summary:
- Size of the total moment: 0.00 μB/cell
- DOS at the Fermi energy: 1.35 states/eV per cell
- Formation energy without anion corrections: -1.720 eV/atom

***

What did the third record say?
A geometry-optimized LiTm2Hf3N6 structure. Source: the Alexandria database, functional PBE.

Cell and atoms, written as POSCAR:
```
LiTm2Hf3N6
1.0
3.255 0.000 0.000
0.000 6.585 0.180
-1.627 -1.955 6.831
Li Tm Hf N
1 2 3 6
direct
0.500 0.000 0.000 Li
0.838 0.677 0.676 Tm
0.162 0.323 0.324 Tm
0.500 0.500 0.000 Hf
0.839 0.164 0.678 Hf
0.161 0.836 0.322 Hf
0.329 0.928 0.658 N
0.663 0.593 0.326 N
0.671 0.072 0.342 N
0.995 0.270 0.989 N
0.005 0.730 0.011 N
0.337 0.407 0.674 N
```

Summary:
- Size of the total moment: 0.00 μB/cell
- DOS at the Fermi energy: 1.35 states/eV per cell
- Formation energy without anion corrections: -1.720 eV/atom